(1)
Ac2IrS | PBE-GGA | relaxed

abc: 4.259 4.259 8.034
angles: 74.63 74.63 60.00
Fractional coordinates of all 4 atoms:
Ac (0.076, 0.076, 0.772)
Ac (0.258, 0.258, 0.226)
Ir (0.667, 0.667, 0.998)
S (0.499, 0.499, 0.504)

Values from the calculation:
DOS at the Fermi energy = 0.73 states/eV per atom
total magnetic moment = 0.0000 μB/atom
final energy = -26.1 eV per cell
SG = R3m
offset from the most stable computed form = 83 meV/atom
energy relative to the elements, uncorrected = -1.219 eV/atom

---

(2)
Ac2IrS6 | PBE-GGA | relaxed

abc: 6.308 6.308 12.757
angles: 90.00 90.00 90.00
Fractional coordinates of all 18 atoms:
Ac (0.000, 0.000, 0.325)
Ac (0.500, 0.500, 0.825)
Ac (0.500, 0.500, 0.175)
Ac (0.000, 0.000, 0.675)
Ir (0.000, 0.000, 0.000)
Ir (0.500, 0.500, 0.500)
S (0.315, 0.315, 0.367)
S (0.685, 0.685, 0.367)
S (0.185, 0.815, 0.867)
S (0.815, 0.185, 0.867)
S (0.185, 0.815, 0.133)
S (0.815, 0.185, 0.133)
S (0.315, 0.315, 0.633)
S (0.685, 0.685, 0.633)
S (0.267, 0.267, 0.000)
S (0.733, 0.733, 0.000)
S (0.233, 0.767, 0.500)
S (0.767, 0.233, 0.500)

Values from the calculation:
DOS at the Fermi energy = 1.29 states/eV per atom
total magnetic moment = 0.0028 μB/atom
final energy = -99.6 eV per cell
SG = P4_2/mnm
energy relative to the elements, uncorrected = -0.886 eV/atom

---

(3)
Ac6IrS5 | PBE-GGA | relaxed

abc: 7.523 7.523 7.499
angles: 99.64 99.64 119.81
Fractional coordinates of all 12 atoms:
Ac (0.408, 0.082, 0.246)
Ac (0.918, 0.592, 0.754)
Ac (0.244, 0.244, 0.753)
Ac (0.756, 0.756, 0.247)
Ac (0.082, 0.408, 0.246)
Ac (0.592, 0.918, 0.754)
Ir (0.000, 0.000, 0.000)
S (0.829, 0.171, 0.500)
S (0.666, 0.334, 0.000)
S (0.500, 0.500, 0.500)
S (0.334, 0.666, 0.000)
S (0.171, 0.829, 0.500)

Values from the calculation:
DOS at the Fermi energy = 0.66 states/eV per atom
total magnetic moment = 0.0000 μB/atom
final energy = -75.5 eV per cell
SG = C2/m
energy relative to the elements, uncorrected = -1.776 eV/atom

---

(4)
Ac4IrS3 | PBE-GGA | relaxed

abc: 4.279 7.614 7.614
angles: 109.02 90.00 90.00
Fractional coordinates of all 8 atoms:
Ac (0.000, 0.236, 0.236)
Ac (0.500, 0.753, 0.247)
Ac (0.000, 0.764, 0.764)
Ac (0.500, 0.247, 0.753)
Ir (0.500, 0.000, 0.000)
S (0.000, 0.000, 0.500)
S (0.500, 0.500, 0.500)
S (0.000, 0.500, 0.000)

Values from the calculation:
DOS at the Fermi energy = 0.75 states/eV per atom
total magnetic moment = 0.0000 μB/atom
final energy = -50.9 eV per cell
SG = Cmmm
energy relative to the elements, uncorrected = -1.648 eV/atom

---

(5)
AcIrS | PBE-GGA | relaxed

abc: 4.067 4.318 4.318
angles: 120.00 90.00 90.00
Fractional coordinates of all 3 atoms:
Ac (0.666, 0.667, 0.333)
Ir (0.171, 0.333, 0.667)
S (0.162, 0.000, 0.000)

Values from the calculation:
DOS at the Fermi energy = 0.26 states/eV per atom
total magnetic moment = 0.0000 μB/atom
final energy = -20.2 eV per cell
SG = P3m1
offset from the most stable computed form = 42 meV/atom
energy relative to the elements, uncorrected = -1.036 eV/atom

---

(6)
Ac9Ir4S2 | PBE-GGA | relaxed

abc: 7.560 7.560 21.006
angles: 90.00 90.00 60.00
Fractional coordinates of all 30 atoms:
Ac (0.000, 0.335, 0.750)
Ac (0.335, 0.665, 0.750)
Ac (0.665, 0.000, 0.750)
Ac (0.000, 0.665, 0.250)
Ac (0.665, 0.335, 0.250)
Ac (0.335, 0.000, 0.250)
Ac (0.660, 0.989, 0.419)
Ac (0.989, 0.352, 0.419)
Ac (0.351, 0.660, 0.419)
Ac (0.648, 0.011, 0.081)
Ac (0.340, 0.649, 0.081)
Ac (0.011, 0.340, 0.081)
Ac (0.340, 0.011, 0.581)
Ac (0.011, 0.648, 0.581)
Ac (0.649, 0.340, 0.581)
Ac (0.352, 0.989, 0.919)
Ac (0.660, 0.351, 0.919)
Ac (0.989, 0.660, 0.919)
Ir (0.333, 0.333, 0.994)
Ir (0.333, 0.333, 0.495)
Ir (0.667, 0.667, 0.006)
Ir (0.333, 0.334, 0.171)
Ir (0.667, 0.667, 0.505)
Ir (0.666, 0.667, 0.329)
Ir (0.334, 0.333, 0.671)
Ir (0.667, 0.666, 0.829)
S (0.000, 0.000, 0.337)
S (0.000, 0.000, 0.163)
S (0.000, 0.000, 0.663)
S (0.000, 0.000, 0.837)

Values from the calculation:
DOS at the Fermi energy = 0.66 states/eV per atom
total magnetic moment = 0.0000 μB/atom
final energy = -188.8 eV per cell
SG = P-3c1
energy relative to the elements, uncorrected = -0.916 eV/atom

---

(7)
Ac5IrS5 | PBE-GGA | relaxed

abc: 6.112 7.589 8.702
angles: 105.84 90.00 113.75
Fractional coordinates of all 11 atoms:
Ac (0.851, 0.701, 0.169)
Ac (0.838, 0.676, 0.668)
Ac (0.500, 0.000, 0.000)
Ac (0.162, 0.324, 0.332)
Ac (0.149, 0.299, 0.831)
Ir (0.000, 0.000, 0.000)
S (0.686, 0.372, 0.330)
S (0.679, 0.357, 0.853)
S (0.000, 0.000, 0.500)
S (0.321, 0.643, 0.147)
S (0.314, 0.628, 0.670)

Values from the calculation:
DOS at the Fermi energy = 0.61 states/eV per atom
total magnetic moment = 0.0001 μB/atom
final energy = -69.6 eV per cell
SG = C2/m
energy relative to the elements, uncorrected = -1.782 eV/atom

---

(8)
Ac4Ir3S | PBE-GGA | relaxed

abc: 4.336 7.518 7.518
angles: 70.89 90.03 90.03
Fractional coordinates of all 8 atoms:
Ac (0.000, 0.760, 0.740)
Ac (0.500, 0.752, 0.252)
Ac (0.000, 0.241, 0.259)
Ac (0.500, 0.248, 0.748)
Ir (0.500, 0.000, 0.500)
Ir (0.000, 0.000, 0.000)
Ir (0.000, 0.500, 0.500)
S (0.500, 0.500, 0.000)

Values from the calculation:
DOS at the Fermi energy = 0.32 states/eV per atom
total magnetic moment = 0.0000 μB/atom
final energy = -54.2 eV per cell
SG = Cmmm
energy relative to the elements, uncorrected = -0.887 eV/atom

---

(9)
Ac2IrS | PBE-GGA | relaxed

abc: 3.696 3.696 7.683
angles: 90.00 90.00 90.00
Fractional coordinates of all 4 atoms:
Ac (0.000, 0.000, 0.761)
Ac (0.000, 0.000, 0.239)
Ir (0.500, 0.500, 0.000)
S (0.500, 0.500, 0.500)

Values from the calculation:
DOS at the Fermi energy = 0.36 states/eV per atom
total magnetic moment = 0.0000 μB/atom
final energy = -25.6 eV per cell
SG = P4/mmm
offset from the most stable computed form = 214 meV/atom
energy relative to the elements, uncorrected = -1.088 eV/atom

---

(10)
Ac4Ir2S | PBE-GGA | relaxed

abc: 4.359 4.359 14.401
angles: 81.30 81.30 60.00
Fractional coordinates of all 7 atoms:
Ac (0.123, 0.123, 0.631)
Ac (0.287, 0.287, 0.140)
Ac (0.713, 0.713, 0.860)
Ac (0.877, 0.877, 0.369)
Ir (0.421, 0.421, 0.738)
Ir (0.579, 0.579, 0.262)
S (0.000, 0.000, 0.000)

Values from the calculation:
DOS at the Fermi energy = 0.24 states/eV per atom
total magnetic moment = 0.0000 μB/atom
final energy = -45.5 eV per cell
SG = R-3m
energy relative to the elements, uncorrected = -1.026 eV/atom

---

(11)
Ac2IrS | PBE-GGA | relaxed

abc: 4.291 4.291 7.839
angles: 74.12 74.12 60.00
Fractional coordinates of all 4 atoms:
Ac (0.256, 0.256, 0.232)
Ac (0.744, 0.744, 0.768)
Ir (0.000, 0.000, 0.000)
S (0.500, 0.500, 0.500)

Values from the calculation:
DOS at the Fermi energy = 0.57 states/eV per atom
total magnetic moment = 0.0000 μB/atom
final energy = -26.4 eV per cell
SG = R-3m
offset from the most stable computed form = 0 meV/atom
energy relative to the elements, uncorrected = -1.302 eV/atom

---

(12)
Ac2IrS | PBE-GGA | relaxed

abc: 4.256 4.258 7.596
angles: 90.03 90.00 119.99
Fractional coordinates of all 4 atoms:
Ac (0.167, 0.333, 0.520)
Ac (0.833, 0.667, 0.980)
Ir (0.500, 0.000, 0.750)
S (0.500, 0.000, 0.250)

Values from the calculation:
DOS at the Fermi energy = 0.71 states/eV per atom
total magnetic moment = 0.0000 μB/atom
final energy = -26.1 eV per cell
SG = P-3m1
offset from the most stable computed form = 84 meV/atom
energy relative to the elements, uncorrected = -1.218 eV/atom